Record 1
A plane-wave DFT calculation with GGA-PBE was carried out for a relaxed CdCuP2O crystal.

Results
As for the energy relative to the elements, uncorrected: 419 meV/atom. The electronic total energy comes out at -18.7 eV/f.u. Its space group is No. 123. The value obtained for the magnetic moment is 0.000 Bohr magnetons per cell. Its excess energy over the best structure of this formula in the dataset is 0 meV/atom.

a b c (Å): 4.8430 4.8430 3.5373
angles (deg): 90.00 90.00 90.00
Fractional coordinates of all 5 atoms:
1 P 0.0000 0.5000 0.0000
2 P 0.5000 0.0000 0.0000
3 O 0.0000 0.0000 0.5000
4 Cu 0.0000 0.0000 0.0000
5 Cd 0.5000 0.5000 0.5000

---

Record 2
A plane-wave DFT calculation with GGA-PBE was carried out for a relaxed CdCuP2O crystal.

Results
As for the energy relative to the elements, uncorrected: 1140 meV/atom. The electronic total energy comes out at -15.1 eV/f.u. Its space group is No. 123. The value obtained for the magnetic moment is 1.591 Bohr magnetons per cell. Its excess energy over the best structure of this formula in the dataset is 720 meV/atom.

a b c (Å): 5.0295 5.0295 4.0192
angles (deg): 90.00 90.00 90.00
Site moments in Bohr magnetons follow the coordinates.
Fractional coordinates of all 5 atoms:
1 P 0.0000 0.5000 0.0000  0.26
2 P 0.5000 0.0000 0.0000  0.26
3 O 0.0000 0.0000 0.5000  0.38
4 Cu 0.5000 0.5000 0.5000  0.04
5 Cd 0.0000 0.0000 0.0000  0.02

---

Record 3
A plane-wave DFT calculation with GGA-PBE was carried out for a relaxed PaCdCuO5 crystal.

Results
As for the energy relative to the elements, uncorrected: -1818 meV/atom. The electronic total energy comes out at -53.8 eV/f.u. Its space group is No. 15. The value obtained for the magnetic moment is 0.000 Bohr magnetons per cell.

a b c (Å): 5.7264 5.7264 8.2534
angles (deg): 100.40 100.40 109.41
Fractional coordinates of all 16 atoms:
1 Pa 0.0000 0.0000 0.5000
2 Pa 0.0000 0.0000 0.0000
3 Cd 0.3224 0.6776 0.2500
4 Cd 0.6776 0.3224 0.7500
5 Cu 0.6540 0.3460 0.2500
6 Cu 0.3460 0.6540 0.7500
7 O 0.0963 0.9037 0.2500
8 O 0.9037 0.0963 0.7500
9 O 0.7872 0.2066 0.0862
10 O 0.2128 0.7934 0.9138
11 O 0.7934 0.2128 0.4138
12 O 0.2066 0.7872 0.5862
13 O 0.6626 0.6403 0.3986
14 O 0.3374 0.3597 0.6014
15 O 0.3597 0.3374 0.1014
16 O 0.6403 0.6626 0.8986

---

Record 4
A plane-wave DFT calculation with GGA-PBE was carried out for a relaxed Pa2CdCuO8 crystal.

Results
As for the energy relative to the elements, uncorrected: -1928 meV/atom. The electronic total energy comes out at -86.8 eV/f.u. Its space group is No. 164. The value obtained for the magnetic moment is 0.000 Bohr magnetons per cell.

a b c (Å): 5.1787 5.1787 6.4346
angles (deg): 90.00 90.00 120.00
Fractional coordinates of all 12 atoms:
1 Pa 0.6667 0.3333 0.1484
2 Pa 0.3333 0.6667 0.8516
3 Cd 0.0000 0.0000 0.5000
4 Cu 0.0000 0.0000 0.0000
5 O 0.8281 0.6563 0.8323
6 O 0.3437 0.1719 0.8323
7 O 0.8281 0.1719 0.8323
8 O 0.1719 0.3437 0.1677
9 O 0.6563 0.8281 0.1677
10 O 0.1719 0.8281 0.1677
11 O 0.6667 0.3333 0.4400
12 O 0.3333 0.6667 0.5600

---

Record 5
A plane-wave DFT calculation with GGA-PBE was carried out for a relaxed CdCuPbO4 crystal.

Results
As for the energy relative to the elements, uncorrected: -801 meV/atom. The electronic total energy comes out at -34.2 eV/f.u. Its space group is No. 74. The value obtained for the magnetic moment is 1.940 Bohr magnetons per cell.

a b c (Å): 6.0472 6.7034 6.5620
angles (deg): 119.30 90.00 116.81
Site moments in Bohr magnetons follow the coordinates.
Fractional coordinates of all 14 atoms:
1 Cd 0.8348 0.6695 0.0848  0.01
2 Cd 0.1652 0.3305 0.9152  0.01
3 Cu 0.5000 0.5000 0.5000  0.56
4 Cu 0.0000 0.5000 0.5000  0.56
5 Pb 0.5000 0.0000 0.5000  0.00
6 Pb 0.5000 0.0000 0.0000  0.00
7 O 0.7244 0.4488 0.6751  0.16
8 O 0.2490 0.9767 0.2384  0.01
9 O 0.7277 0.9767 0.2384  0.01
10 O 0.7244 0.4488 0.2737  0.16
11 O 0.2756 0.5512 0.7263  0.16
12 O 0.7510 0.0233 0.7616  0.01
13 O 0.2723 0.0233 0.7616  0.01
14 O 0.2756 0.5512 0.3249  0.16

---

Record 6
A plane-wave DFT calculation with GGA-PBE was carried out for a relaxed Cd3CuPd3O8 crystal.

Results
As for the energy relative to the elements, uncorrected: -525 meV/atom. The electronic total energy comes out at -70.0 eV/f.u. Its space group is No. 12. The value obtained for the magnetic moment is 0.000 Bohr magnetons per cell.

a b c (Å): 6.3995 6.8258 6.5811
angles (deg): 119.44 90.00 117.95
Fractional coordinates of all 15 atoms:
1 Cd 0.0000 0.0000 0.0000
2 Cd 0.0000 0.5000 0.0000
3 Cd 0.5000 0.5000 0.0000
4 Cu 0.0000 0.0000 0.5000
5 Pd 0.5000 0.0000 0.5000
6 Pd 0.5000 0.5000 0.5000
7 Pd 0.0000 0.5000 0.5000
8 O 0.2100 0.4199 0.2673
9 O 0.7900 0.5801 0.7327
10 O 0.8223 0.6445 0.2380
11 O 0.1777 0.3555 0.7620
12 O 0.7912 0.1057 0.3625
13 O 0.2088 0.8943 0.6375
14 O 0.3144 0.1057 0.3625
15 O 0.6856 0.8943 0.6375

---

Record 7
A plane-wave DFT calculation with GGA-PBE was carried out for a relaxed CdCuPdO4 crystal.

Results
As for the energy relative to the elements, uncorrected: -618 meV/atom. The electronic total energy comes out at -34.4 eV/f.u. Its space group is No. 74. The value obtained for the magnetic moment is 1.634 Bohr magnetons per cell.

a b c (Å): 5.8576 6.4641 6.2215
angles (deg): 118.77 90.00 116.94
Site moments in Bohr magnetons follow the coordinates.
Fractional coordinates of all 14 atoms:
1 Cd 0.8403 0.6806 0.0903  0.01
2 Cd 0.1597 0.3194 0.9097  0.01
3 Cu 0.5000 0.5000 0.5000  0.48
4 Cu 0.0000 0.5000 0.5000  0.48
5 Pd 0.5000 0.0000 0.5000  0.01
6 Pd 0.5000 0.0000 0.0000  0.01
7 O 0.7103 0.4206 0.6679  0.14
8 O 0.2701 0.9908 0.2454  0.01
9 O 0.7207 0.9908 0.2454  0.01
10 O 0.7103 0.4206 0.2527  0.14
11 O 0.2897 0.5794 0.7473  0.14
12 O 0.7299 0.0092 0.7546  0.01
13 O 0.2793 0.0092 0.7546  0.01
14 O 0.2897 0.5794 0.3321  0.14

---

Record 8
A plane-wave DFT calculation with GGA-PBE was carried out for a relaxed Pm2CdCuO5 crystal.

Results
As for the energy relative to the elements, uncorrected: -2031 meV/atom. The electronic total energy comes out at -57.6 eV/f.u. Its space group is No. 127. The value obtained for the magnetic moment is 1.921 Bohr magnetons per cell.

a b c (Å): 5.6552 6.6595 6.6595
angles (deg): 90.00 90.00 90.00
Site moments in Bohr magnetons follow the coordinates.
Fractional coordinates of all 18 atoms:
1 Pm 0.5000 0.6721 0.1721  0.03
2 Pm 0.5000 0.1721 0.3279  0.03
3 Pm 0.5000 0.8279 0.6721  0.03
4 Pm 0.5000 0.3279 0.8279  0.03
5 Cd 0.0000 0.5000 0.5000  0.01
6 Cd 0.0000 0.0000 0.0000  0.01
7 Cu 0.0000 0.0000 0.5000  0.51
8 Cu 0.0000 0.5000 0.0000  0.51
9 O 0.5000 0.5000 0.5000  0.00
10 O 0.5000 0.0000 0.0000  0.00
11 O 0.2415 0.1411 0.6411  0.09
12 O 0.2415 0.8589 0.3589  0.09
13 O 0.2415 0.3589 0.1411  0.09
14 O 0.2415 0.6411 0.8589  0.09
15 O 0.7585 0.1411 0.6411  0.09
16 O 0.7585 0.6411 0.8589  0.09
17 O 0.7585 0.8589 0.3589  0.09
18 O 0.7585 0.3589 0.1411  0.09

---

- What is the magnetic moment in the sixth record?
  0.000 Bohr magnetons per cell